[1]
# VSb2RhI (GGA-PBE, optimized geometry)
data_VSb2RhI
_symmetry_space_group_name_H-M 'P 4/m m m'
_symmetry_Int_Tables_number 123
_symmetry_space_group_name_Hall '-P 4 2'
_cell_length_a 5.0612
_cell_length_b 5.0612
_cell_length_c 5.5341
_cell_angle_alpha 90.00
_cell_angle_beta 90.00
_cell_angle_gamma 90.00
loop_
_atom_site_label
_atom_site_fract_x
_atom_site_fract_y
_atom_site_fract_z
V1 0.0000 0.0000 0.0000
Sb1 0.0000 0.5000 0.5000
Rh1 0.5000 0.5000 0.5000
I1 0.5000 0.5000 0.0000
# V ... 141.8 Å³/cell
# Raw formation energy ... 946 meV/atom
# Energy above the most stable polymorph in this dataset ... 82.1 meV per atom

[2]
# VSb2RhI (GGA-PBE, optimized geometry)
data_VSb2RhI
_symmetry_space_group_name_H-M 'P 4/m m m'
_symmetry_Int_Tables_number 123
_symmetry_space_group_name_Hall '-P 4 2'
_cell_length_a 5.0509
_cell_length_b 5.0509
_cell_length_c 5.3150
_cell_angle_alpha 90.00
_cell_angle_beta 90.00
_cell_angle_gamma 90.00
loop_
_atom_site_label
_atom_site_fract_x
_atom_site_fract_y
_atom_site_fract_z
V1 0.0000 0.0000 0.0000
Sb1 0.0000 0.5000 0.0000
Rh1 0.5000 0.5000 0.5000
I1 0.0000 0.0000 0.5000
# V ... 135.6 Å³/cell
# Raw formation energy ... 864 meV/atom
# Energy above the most stable polymorph in this dataset ... 0.0 meV per atom

[3]
# SbRhWI2 (GGA-PBE, optimized geometry)
data_SbRhWI2
_symmetry_space_group_name_H-M 'P 4/m m m'
_symmetry_Int_Tables_number 123
_symmetry_space_group_name_Hall '-P 4 2'
_cell_length_a 5.3544
_cell_length_b 5.3544
_cell_length_c 5.2790
_cell_angle_alpha 90.00
_cell_angle_beta 90.00
_cell_angle_gamma 90.00
loop_
_atom_site_label
_atom_site_fract_x
_atom_site_fract_y
_atom_site_fract_z
Sb1 0.0000 0.0000 0.0000
Rh1 0.5000 0.5000 0.0000
W1 0.0000 0.0000 0.5000
I1 0.0000 0.5000 0.5000
# V ... 151.3 Å³/cell
# Raw formation energy ... 1388 meV/atom
# Energy above the most stable polymorph in this dataset ... 19.4 meV per atom

Number 1: Fermi-level density of states 1.49 states/eV per atom, magnetic moment 0.29 Bohr magnetons per cell. Number 2: Fermi-level density of states 1.14 states/eV per atom, magnetic moment 1.16 Bohr magnetons per cell. Number 3: Fermi-level density of states 2.10 states/eV per atom, magnetic moment 0.03 Bohr magnetons per cell.